An optimized crystal structure of NdPaPtRh, computed with PBE.

Cell lengths 3.7502, 4.2830, 6.0185 Å; angles 90.00, 108.15, 90.00 degrees
Fractional coordinates of all 4 atoms:
Rh 0.3998 0.0000 0.7996
Pa 0.8748 0.5000 0.7495
Pt 0.5795 0.5000 0.1589
Nd 0.1460 0.0000 0.2919

* total DFT energy (no corrections): -31.22 eV/f.u.
* symmetry: Amm2, No. 38

***

An optimized crystal structure of NdPaSi2Pt4, computed with PBE.

Cell lengths 4.0769, 4.0769, 9.3708 Å; angles 90.00, 90.00, 90.00 degrees
Fractional coordinates of all 8 atoms:
Nd 0.0000 0.0000 0.5000
Pt 0.0000 0.5000 0.2210
Pa 0.0000 0.0000 0.0000
Si 0.5000 0.5000 0.6286
Si 0.5000 0.5000 0.3714
Pt 0.5000 0.0000 0.2210
Pt 0.0000 0.5000 0.7790
Pt 0.5000 0.0000 0.7790

* raw formation energy: -908 meV per atom
* total DFT energy (no corrections): -56.54 eV/f.u.
* symmetry: P4/mmm, No. 123

***

What did the second record say?
An optimized crystal structure of NdPaSi2Pt4, computed with PBE.

Cell lengths 4.0769, 4.0769, 9.3708 Å; angles 90.00, 90.00, 90.00 degrees
Fractional coordinates of all 8 atoms:
Nd 0.0000 0.0000 0.5000
Pt 0.0000 0.5000 0.2210
Pa 0.0000 0.0000 0.0000
Si 0.5000 0.5000 0.6286
Si 0.5000 0.5000 0.3714
Pt 0.5000 0.0000 0.2210
Pt 0.0000 0.5000 0.7790
Pt 0.5000 0.0000 0.7790

* raw formation energy: -908 meV per atom
* total DFT energy (no corrections): -56.54 eV/f.u.
* symmetry: P4/mmm, No. 123